Entry 1:
VASP calculation (PBE) on an optimized crystal structure of Cs3LaSi.

It has space group Pm-3m (No. 221), with a = 7.3686 Å, b = 7.3686 Å, c = 7.3686 Å, α = 90.00°, β = 90.00° and γ = 90.00°. The asymmetric unit holds Cs at (0.0000, 0.0000, 0.5000), La at (0.0000, 0.0000, 0.0000) and Si at (0.5000, 0.5000, 0.5000).

Its final energy is -1.36 eV/atom. The calculation puts the formation energy from raw total energies at 1.2208 eV/atom. The calculation puts the density of states at the Fermi level at 5.62 states/eV/cell.

***

Entry 2:
VASP calculation (PBE) on an optimized crystal structure of CsLaSi3.

It has space group Pm-3m (No. 221), with a = 5.7297 Å, b = 5.7297 Å, c = 5.7297 Å, α = 90.00°, β = 90.00° and γ = 90.00°. The asymmetric unit holds Cs at (0.0000, 0.0000, 0.0000), La at (0.5000, 0.5000, 0.5000) and Si at (0.0000, 0.5000, 0.5000).

Its final energy is -3.62 eV/atom. The calculation puts the energy above the most stable polymorph in this dataset at 0.000 eV per formula unit. The calculation puts the formation energy from raw total energies at 0.7882 eV/atom. The calculation puts the density of states at the Fermi level at 2.76 states/eV/cell.

***

Entry 3:
VASP calculation (PBE) on an optimized crystal structure of Cs2LaVSi.

It has space group P4/mmm (No. 123), with a = 7.1184 Å, b = 7.1184 Å, c = 4.7258 Å, α = 90.00°, β = 90.00° and γ = 90.00°. The asymmetric unit holds Cs at (0.0000, 0.5000, 0.0000), La at (0.0000, 0.0000, 0.0000), V at (0.0000, 0.0000, 0.5000) and Si at (0.5000, 0.5000, 0.5000).

Its final energy is -2.77 eV/atom. The calculation puts the formation energy from raw total energies at 1.4689 eV/atom. The calculation puts the density of states at the Fermi level at 5.13 states/eV/cell.